Compound: W2Se
Source: Alexandria via LeMat-Bulk
Functional: GGA-PBE
Structure: optimized geometry

Properties
The calculation puts the total magnetization at 0.00 μB/cell. For the density of states at the Fermi level, the calculation gives 4.02 states/eV/f.u. Its energy is -8.47 eV per atom. The space-group type is No. 123. Its energy relative to the elements, uncorrected is 1.33 eV/atom.

Cell lengths 4.2744, 4.2744, 2.9353 Å; angles 90.00, 90.00, 90.00 degrees
Last column: nearest neighbours and their distance in Å.
Atoms (fractional coordinates):
Se 0.0000 0.0000 0.0000  8 W 2.59
W 0.0000 0.5000 0.5000  4 Se 2.59
W 0.5000 0.0000 0.5000  4 Se 2.59